Material: CaAlTe2H
Method: DFT, PBE
State: relaxed

As for the space group: P4/mmm (123).

Cell lengths 5.5852, 5.5852, 3.7587 Å; angles 90.00, 90.00, 90.00 degrees
With the nearest neighbours (Å) after each atom.
Fractional coordinates of all 5 atoms:
Ca: 0.0000 0.0000 0.0000  8 Te 3.37, 2 Ca 3.76
Al: 0.5000 0.5000 0.5000  2 H 1.88
Te: 0.0000 0.5000 0.5000  2 Al 2.79
Te: 0.5000 0.0000 0.5000  2 Al 2.79
H: 0.5000 0.5000 0.0000  2 Al 1.88

Material: HgPdF2
Method: DFT, PBE
State: relaxed

The excess energy over the best structure of this formula in the dataset comes out at 182.9 meV/atom. The value obtained for the formation energy without anion corrections is -61.70 kJ per mole of atoms. As for the space group: Fm-3m (225).

Cell lengths 4.3303, 4.3303, 4.3303 Å; angles 60.00, 60.00, 60.00 degrees
With the nearest neighbours (Å) after each atom.
Fractional coordinates of all 4 atoms:
Hg: 0.0000 0.0000 0.0000  8 F 2.65
Pd: 0.5000 0.5000 0.5000  8 F 2.65
F: 0.2500 0.2500 0.2500  4 Hg 2.65, 4 Pd 2.65
F: 0.7500 0.7500 0.7500  4 Hg 2.65, 4 Pd 2.65

Material: Hf3GeTe
Method: DFT, PBE
State: relaxed

The excess energy over the best structure of this formula in the dataset comes out at 0.0 meV/atom. The value obtained for the formation energy without anion corrections is 38.64 kJ per mole of atoms. As for the space group: Pm-3m (221).

Cell lengths 5.0058, 5.0058, 5.0058 Å; angles 90.00, 90.00, 90.00 degrees
With the nearest neighbours (Å) after each atom.
Fractional coordinates of all 5 atoms:
Hf: 0.0000 0.0000 0.5000  2 Ge 2.50
Hf: 0.0000 0.5000 0.0000  2 Ge 2.50
Hf: 0.5000 0.0000 0.0000  2 Ge 2.50
Ge: 0.0000 0.0000 0.0000  6 Hf 2.50
Te: 0.5000 0.5000 0.5000  12 Hf 3.54

Material: AcYPt
Method: DFT, PBE
State: relaxed

The excess energy over the best structure of this formula in the dataset comes out at 74.4 meV/atom. The formation energy comes out at -0.75 eV per atom. As for the space group: P3m1 (156).

Cell lengths 4.2674, 4.2674, 6.5348 Å; angles 90.00, 90.00, 120.00 degrees
With the nearest neighbours (Å) after each atom.
Fractional coordinates of all 3 atoms:
Ac: 0.0000 0.0000 0.0000  3 Pt 3.04
Y: 0.6667 0.3333 0.4843  3 Pt 2.83
Pt: 0.3333 0.6667 0.2728  3 Y 2.83, 3 Ac 3.04

Short version: raw total energy = -3.668; -2.949; -7.123; -6.292 eV per atom, in the order given.